First-principles (PBE) data for crystalline MgAgBr2O at its relaxed geometry, as listed in Alexandria.

**M_tot**: 0.21 μB per atom
**Final energy**: -11.53 eV/cell

a = 4.971 Å, b = 4.971 Å, c = 6.606 Å
α = 90.00°, β = 90.00°, γ = 90.00°
Positions (direct):
Mg 0.000 0.000 0.000
Ag 0.000 0.000 0.500
Br 0.000 0.500 0.000
Br 0.500 0.000 0.000
O 0.500 0.500 0.500